[1]
Material: GdThPb2
Method: DFT, PBE
State: relaxed

Cell: 5.536 5.536 5.536 Å, 60.00 60.00 60.00°
Positions (direct):
Pb1 0.750 0.750 0.750
Pb2 0.250 0.250 0.250
Gd1 0.500 0.500 0.500
Th1 0.000 0.000 0.000

Output
Formation enthalpy at 0 K = -1.15 eV/f.u.
Total DFT energy (no corrections) = -7.517 eV per atom
Energy above the most stable polymorph in this dataset = 120 meV/atom
Density of states at the Fermi level = 1.49 states/eV/atom

[2]
Material: GdThZnPb
Method: DFT, PBE
State: relaxed

Cell: 5.366 5.366 5.366 Å, 60.00 60.00 60.00°
Positions (direct):
Gd1 0.250 0.250 0.250
Zn1 0.000 0.000 0.000
Pb1 0.500 0.500 0.500
Th1 0.750 0.750 0.750

Output
Formation enthalpy at 0 K = -0.95 eV/f.u.
Total DFT energy (no corrections) = -6.859 eV per atom
Density of states at the Fermi level = 1.06 states/eV/atom

[3]
Material: GdTiPb2
Method: DFT, PBE
State: relaxed

Cell: 4.726 4.726 6.089 Å, 67.17 67.17 60.00°
Positions (direct):
Pb1 0.764 0.764 0.707
Pb2 0.236 0.236 0.293
Gd1 0.000 0.000 0.000
Ti1 0.500 0.500 0.500

Output
Formation enthalpy at 0 K = -0.53 eV/f.u.
Total DFT energy (no corrections) = -7.481 eV per atom
Energy above the most stable polymorph in this dataset = 0 meV/atom
Density of states at the Fermi level = 0.87 states/eV/atom

[4]
Material: GdTiPb2
Method: DFT, PBE
State: relaxed

Cell: 3.806 3.806 6.965 Å, 90.00 90.00 90.00°
Positions (direct):
Gd1 0.500 0.500 0.500
Pb1 0.000 0.000 0.778
Pb2 0.000 0.000 0.222
Ti1 0.500 0.500 0.000

Output
Formation enthalpy at 0 K = -0.50 eV/f.u.
Total DFT energy (no corrections) = -7.474 eV per atom
Energy above the most stable polymorph in this dataset = 7 meV/atom
Density of states at the Fermi level = 0.87 states/eV/atom

[5]
Material: GdTiPb2
Method: DFT, PBE
State: relaxed

Cell: 4.364 4.845 4.845 Å, 90.00 90.00 90.00°
Positions (direct):
Ti1 0.500 0.500 0.500
Pb1 0.000 0.500 0.000
Pb2 0.000 0.000 0.500
Gd1 0.500 0.000 0.000

Output
Formation enthalpy at 0 K = -0.45 eV/f.u.
Total DFT energy (no corrections) = -7.461 eV per atom
Energy above the most stable polymorph in this dataset = 20 meV/atom
Density of states at the Fermi level = 1.03 states/eV/atom

[6]
Material: GdTlPb2
Method: DFT, PBE
State: relaxed

Cell: 4.922 4.824 4.824 Å, 90.00 90.00 90.00°
Positions (direct):
Tl1 0.500 0.000 0.000
Gd1 0.500 0.500 0.500
Pb1 0.000 0.000 0.500
Pb2 0.000 0.500 0.000

Output
Formation enthalpy at 0 K = -1.27 eV/f.u.
Total DFT energy (no corrections) = -6.283 eV per atom
Energy above the most stable polymorph in this dataset = 0 meV/atom
Density of states at the Fermi level = 0.64 states/eV/atom

[7]
Material: GdTlPb
Method: DFT, PBE
State: relaxed

Cell: 4.202 4.952 4.952 Å, 120.00 90.00 90.00°
Positions (direct):
Pb1 0.021 0.000 0.000
Gd1 0.652 0.667 0.333
Tl1 0.326 0.333 0.667

Output
Formation enthalpy at 0 K = -0.75 eV/f.u.
Total DFT energy (no corrections) = -6.969 eV per atom
Energy above the most stable polymorph in this dataset = 0 meV/atom
Density of states at the Fermi level = 0.83 states/eV/atom

[8]
Material: Gd2TlPb
Method: DFT, PBE
State: relaxed

Cell: 3.788 3.788 10.000 Å, 79.08 79.08 60.00°
Positions (direct):
Tl1 0.500 0.500 0.500
Gd1 0.249 0.249 0.254
Gd2 0.751 0.751 0.746
Pb1 0.000 0.000 0.000

Output
Formation enthalpy at 0 K = -1.25 eV/f.u.
Total DFT energy (no corrections) = -8.873 eV per atom
Density of states at the Fermi level = 1.31 states/eV/atom

[9]
Material: GdTlPb
Method: DFT, PBE
State: relaxed

Cell: 3.879 3.879 6.394 Å, 107.66 107.66 90.00°
Positions (direct):
Pb1 0.959 0.959 0.918
Tl1 0.611 0.611 0.221
Gd1 0.280 0.280 0.561

Output
Formation enthalpy at 0 K = -0.62 eV/f.u.
Total DFT energy (no corrections) = -6.924 eV per atom
Energy above the most stable polymorph in this dataset = 46 meV/atom
Density of states at the Fermi level = 1.07 states/eV/atom

[10]
Material: GdTlPb2
Method: DFT, PBE
State: relaxed

Cell: 4.193 4.193 6.786 Å, 90.00 90.00 90.00°
Positions (direct):
Tl1 0.500 0.500 0.500
Gd1 0.500 0.500 0.000
Pb1 0.000 0.000 0.757
Pb2 0.000 0.000 0.243

Output
Formation enthalpy at 0 K = -0.84 eV/f.u.
Total DFT energy (no corrections) = -6.175 eV per atom
Energy above the most stable polymorph in this dataset = 107 meV/atom
Density of states at the Fermi level = 0.92 states/eV/atom

[11]
Material: Gd2TlPb
Method: DFT, PBE
State: relaxed

Cell: 4.511 4.992 4.992 Å, 90.00 90.00 90.00°
Positions (direct):
Gd1 0.000 0.000 0.500
Gd2 0.000 0.500 0.000
Pb1 0.500 0.500 0.500
Tl1 0.500 0.000 0.000

Output
Formation enthalpy at 0 K = -1.87 eV/f.u.
Total DFT energy (no corrections) = -9.026 eV per atom
Density of states at the Fermi level = 0.74 states/eV/atom

[12]
Material: GdTlPb2
Method: DFT, PBE
State: relaxed

Cell: 5.562 5.562 5.562 Å, 60.00 60.00 60.00°
Positions (direct):
Gd1 0.000 0.000 0.000
Tl1 0.500 0.500 0.500
Pb1 0.750 0.750 0.750
Pb2 0.250 0.250 0.250

Output
Formation enthalpy at 0 K = -0.44 eV/f.u.
Total DFT energy (no corrections) = -6.075 eV per atom
Energy above the most stable polymorph in this dataset = 208 meV/atom
Density of states at the Fermi level = 1.24 states/eV/atom

[13]
Material: Gd2TlPb
Method: DFT, PBE
State: relaxed

Cell: 4.040 4.040 6.988 Å, 90.00 90.00 90.00°
Positions (direct):
Tl1 0.500 0.500 0.500
Gd1 0.000 0.000 0.753
Gd2 0.000 0.000 0.247
Pb1 0.500 0.500 0.000

Output
Formation enthalpy at 0 K = -1.71 eV/f.u.
Total DFT energy (no corrections) = -8.987 eV per atom
Density of states at the Fermi level = 0.75 states/eV/atom

[14]
Material: GdYTlPb
Method: DFT, PBE
State: relaxed

Cell: 5.434 5.434 5.434 Å, 60.00 60.00 60.00°
Positions (direct):
Tl1 0.000 0.000 0.000
Y1 0.750 0.750 0.750
Pb1 0.500 0.500 0.500
Gd1 0.250 0.250 0.250

Output
Formation enthalpy at 0 K = -1.60 eV/f.u.
Total DFT energy (no corrections) = -7.054 eV per atom
Density of states at the Fermi level = 0.85 states/eV/atom

[15]
Material: GdZrTlPb
Method: DFT, PBE
State: relaxed

Cell: 5.284 5.284 5.284 Å, 60.00 60.00 60.00°
Positions (direct):
Pb1 0.750 0.750 0.750
Tl1 0.250 0.250 0.250
Zr1 0.500 0.500 0.500
Gd1 0.000 0.000 0.000

Output
Formation enthalpy at 0 K = -0.54 eV/f.u.
Total DFT energy (no corrections) = -7.311 eV per atom
Density of states at the Fermi level = 1.11 states/eV/atom

[16]
Material: GdTmZnPb
Method: DFT, PBE
State: relaxed

Cell: 5.242 5.242 5.242 Å, 60.00 60.00 60.00°
Positions (direct):
Pb1 0.000 0.000 0.000
Zn1 0.500 0.500 0.500
Tm1 0.750 0.750 0.750
Gd1 0.250 0.250 0.250

Output
Formation enthalpy at 0 K = -1.44 eV/f.u.
Total DFT energy (no corrections) = -6.243 eV per atom
Density of states at the Fermi level = 0.85 states/eV/atom

[17]
Material: GdY2Pb
Method: DFT, PBE
State: relaxed

Cell: 4.830 4.927 4.927 Å, 90.00 90.00 90.00°
Positions (direct):
Y1 0.000 0.000 0.500
Y2 0.000 0.500 0.000
Gd1 0.500 0.500 0.500
Pb1 0.500 0.000 0.000

Output
Formation enthalpy at 0 K = -1.22 eV/f.u.
Total DFT energy (no corrections) = -7.986 eV per atom
Energy above the most stable polymorph in this dataset = 0 meV/atom
Density of states at the Fermi level = 1.43 states/eV/atom

[18]
Material: Gd2YPb
Method: DFT, PBE
State: relaxed

Cell: 3.560 3.560 12.307 Å, 81.68 81.68 60.00°
Positions (direct):
Pb1 0.000 0.000 0.000
Gd1 0.088 0.088 0.736
Gd2 0.912 0.912 0.264
Y1 0.500 0.500 0.500

Output
Formation enthalpy at 0 K = 0.20 eV/f.u.
Total DFT energy (no corrections) = -9.532 eV per atom
Energy above the most stable polymorph in this dataset = 375 meV/atom
Density of states at the Fermi level = 1.37 states/eV/atom

[19]
Material: Gd2YPb
Method: DFT, PBE
State: relaxed

Cell: 4.961 4.871 4.871 Å, 90.00 90.00 90.00°
Positions (direct):
Pb1 0.500 0.000 0.000
Gd1 0.000 0.000 0.500
Gd2 0.000 0.500 0.000
Y1 0.500 0.500 0.500

Output
Formation enthalpy at 0 K = -1.30 eV/f.u.
Total DFT energy (no corrections) = -9.907 eV per atom
Energy above the most stable polymorph in this dataset = 0 meV/atom
Density of states at the Fermi level = 1.38 states/eV/atom

[20]
Material: GdYPb
Method: DFT, PBE
State: relaxed

Cell: 3.756 5.315 5.315 Å, 120.00 90.00 90.00°
Positions (direct):
Gd1 0.722 0.333 0.667
Pb1 0.017 0.000 0.000
Y1 0.261 0.667 0.333

Output
Formation enthalpy at 0 K = -0.71 eV/f.u.
Total DFT energy (no corrections) = -8.321 eV per atom
Density of states at the Fermi level = 1.57 states/eV/atom